A relaxed structure of LaSmUO6. Source: the Alexandria database, functional PBE.

Results
As for the final energy: -8.962 eV per atom. As for the volume: 16.56 Å³ per atom. Its magnetic moment is 0.000 μB/f.u. The formation energy from raw total energies comes out at -3330 meV per atom.

Unit cell a=5.941 b=5.941 c=9.751 alpha=90.00 beta=90.00 gamma=120.00
Atoms (fractional coordinates):
1 O 0.969 0.633 0.363
2 O 0.633 0.663 0.637
3 O 0.633 0.969 0.863
4 O 0.663 0.633 0.137
5 O 0.367 0.337 0.363
6 O 0.663 0.031 0.363
7 O 0.367 0.031 0.137
8 O 0.337 0.367 0.863
9 O 0.031 0.367 0.637
10 O 0.031 0.663 0.863
11 O 0.969 0.337 0.137
12 O 0.337 0.969 0.637
13 La 0.000 0.000 0.500
14 La 0.000 0.000 0.000
15 U 0.667 0.333 0.250
16 U 0.333 0.667 0.750
17 Sm 0.667 0.333 0.750
18 Sm 0.333 0.667 0.250